VASP calculation (PBE) on SrCaV2In after structural relaxation.

Properties
- Formation energy: 1.53 eV per atom
- DOS(E_F): 7.023 states/eV/f.u.
- Volume: 177.2 Å³/cell
- VASP energy: -17.01 eV per cell

POSCAR file:
```
SrCaV2In
1.0
5.486 0.000 0.000
0.000 5.486 0.000
0.000 0.000 5.887
Sr Ca V In
1 1 2 1
Direct
0.000 0.000 0.000
0.500 0.500 0.500
0.000 0.500 0.000
0.500 0.000 0.000
0.000 0.000 0.500
```